First-principles (GGA-PBE) data for a relaxed TaInB3 crystal, as listed in Alexandria via LeMat-Bulk.

a b c (Å): 4.2454 4.2454 4.2454
angles (deg): 90.00 90.00 90.00
Fractional coordinates of all 5 atoms:
Ta: 0.0000 0.0000 0.0000
In: 0.5000 0.5000 0.5000
B: 0.0000 0.5000 0.5000
B: 0.5000 0.0000 0.5000
B: 0.5000 0.5000 0.0000

Properties
As for the distance to the lowest polymorph of the same formula: 108.24 kJ/mol of atoms. The calculation puts the total magnetic moment at 0.00 μB/f.u. For the formation enthalpy at 0 K, the calculation gives 239.7 kJ/mol of atoms.